No. 1
Computed, not measured: a relaxed structure of LiPmScSe3 at the PBE-GGA level of DFT.

Results
VASP energy: -5.51 eV/atom
Raw formation energy: -1.61 eV/atom
N(E_F): 0.51 states/eV/atom
Calculated density: 5.32 g cm⁻³

Cell: 3.940 8.123 8.734 Å, 104.41 90.00 90.00°
Atoms (fractional coordinates):
Se  0.750  0.900  0.126
Se  0.250  0.766  0.492
Se  0.250  0.100  0.874
Se  0.750  0.234  0.508
Se  0.250  0.559  0.831
Se  0.750  0.441  0.169
Sc  0.750  0.335  0.844
Sc  0.250  0.665  0.156
Pm  0.250  0.197  0.234
Pm  0.750  0.803  0.766
Li  0.250  0.091  0.590
Li  0.750  0.909  0.410

No. 2
Computed, not measured: a relaxed structure of LiPm3Sc2Se6 at the PBE-GGA level of DFT.

Results
VASP energy: -5.86 eV/atom
Raw formation energy: -1.71 eV/atom
N(E_F): 0.47 states/eV/atom
Calculated density: 5.98 g cm⁻³

Cell: 6.975 6.975 7.034 Å, 99.54 99.54 120.04°
Atoms (fractional coordinates):
Sc  0.665  0.335  0.000
Sc  0.335  0.665  0.000
Pm  0.500  0.500  0.500
Pm  0.835  0.165  0.500
Pm  0.165  0.835  0.500
Se  0.074  0.407  0.225
Se  0.926  0.593  0.775
Se  0.593  0.926  0.775
Se  0.744  0.744  0.222
Se  0.256  0.256  0.778
Se  0.407  0.074  0.225
Li  0.000  0.000  0.000

No. 3
Computed, not measured: a relaxed structure of LiPm2ScSe5 at the PBE-GGA level of DFT.

Results
VASP energy: -5.61 eV/atom
Raw formation energy: -1.70 eV/atom
Calculated density: 5.80 g cm⁻³

Cell: 4.070 8.785 12.138 Å, 90.00 90.00 103.39°
Atoms (fractional coordinates):
Se  0.053  0.107  0.068
Se  0.947  0.893  0.568
Se  0.691  0.382  0.855
Se  0.282  0.563  0.662
Se  0.718  0.437  0.162
Se  0.309  0.618  0.355
Se  0.497  0.994  0.780
Se  0.359  0.718  0.999
Se  0.503  0.006  0.280
Se  0.641  0.282  0.499
Li  0.554  0.108  0.962
Li  0.446  0.892  0.462
Pm  0.128  0.257  0.302
Pm  0.895  0.790  0.185
Pm  0.872  0.743  0.802
Pm  0.105  0.210  0.685
Sc  0.801  0.602  0.511
Sc  0.199  0.398  0.011

No. 4
Computed, not measured: a relaxed structure of LiPmScSi at the PBE-GGA level of DFT.

Results
VASP energy: -4.97 eV/atom
Raw formation energy: -0.36 eV/atom
N(E_F): 0.48 states/eV/atom
Calculated density: 4.52 g cm⁻³

Cell: 4.891 4.891 4.891 Å, 60.00 60.00 60.00°
Atoms (fractional coordinates):
Sc  0.750  0.750  0.750
Pm  0.250  0.250  0.250
Si  0.000  0.000  0.000
Li  0.500  0.500  0.500

No. 5
Computed, not measured: a relaxed structure of LiPmSmSc at the PBE-GGA level of DFT.

Results
VASP energy: -4.29 eV/atom
N(E_F): 1.01 states/eV/atom
Calculated density: 5.12 g cm⁻³

Cell: 5.422 5.422 5.422 Å, 60.00 60.00 60.00°
Atoms (fractional coordinates):
Sm  0.250  0.250  0.250
Li  0.000  0.000  0.000
Sc  0.500  0.500  0.500
Pm  0.750  0.750  0.750

No. 6
Computed, not measured: a relaxed structure of LiPmScSn at the PBE-GGA level of DFT.

Results
VASP energy: -4.66 eV/atom
N(E_F): 0.70 states/eV/atom
Calculated density: 5.44 g cm⁻³

Cell: 5.145 5.145 5.145 Å, 60.00 60.00 60.00°
Atoms (fractional coordinates):
Li  0.750  0.750  0.750
Sc  0.500  0.500  0.500
Pm  0.000  0.000  0.000
Sn  0.250  0.250  0.250

No. 7
Computed, not measured: a relaxed structure of Li2PmSc2Sn2 at the PBE-GGA level of DFT.

Results
VASP energy: -4.65 eV/atom
N(E_F): 0.76 states/eV/atom
Calculated density: 4.95 g cm⁻³

Cell: 4.713 4.713 8.904 Å, 74.66 74.66 60.00°
Each line ends with the local moment (μB).
Atoms (fractional coordinates):
Sn  0.256  0.256  0.231  -0.01
Sn  0.744  0.744  0.769  -0.01
Li  0.575  0.575  0.275  0.00
Li  0.425  0.425  0.725  0.00
Pm  0.000  0.000  0.000  0.07
Sc  0.866  0.866  0.401  0.17
Sc  0.134  0.134  0.599  0.17

No. 8
Computed, not measured: a relaxed structure of LiTbPmSc at the PBE-GGA level of DFT.

Results
VASP energy: -4.26 eV/atom
N(E_F): 1.03 states/eV/atom
Calculated density: 5.34 g cm⁻³

Cell: 5.390 5.390 5.390 Å, 60.00 60.00 60.00°
Atoms (fractional coordinates):
Li  0.000  0.000  0.000
Sc  0.500  0.500  0.500
Pm  0.250  0.250  0.250
Tb  0.750  0.750  0.750